Record 1
Computed, not measured: a geometry-optimized PrSnGe structure at the PBE level of DFT.

Results
formation energy: -0.489 eV per atom
VASP energy: -4.96 eV/atom

abc: 4.1225 4.7561 4.7561
angles: 120.00 90.00 90.00
Last column: nearest neighbours and their distance in Å.
Sites, in units of the cell vectors:
Pr 0.6666 0.3333 0.6667  6 Ge 3.43, 6 Sn 3.43
Ge 0.1670 0.6667 0.3333  3 Sn 2.75
Sn 0.1665 0.0000 0.0000  3 Ge 2.75

=====

Record 2
Computed, not measured: a geometry-optimized SbRuIN2 structure at the PBE level of DFT.

Results
formation energy from raw total energies: 626 kJ/mol of formula units
VASP energy: -5.02 eV/atom
offset from the most stable computed form: 0 meV/atom

abc: 4.0650 4.0650 5.5333
angles: 90.00 90.00 90.00
Last column: nearest neighbours and their distance in Å.
Sites, in units of the cell vectors:
I 0.0000 0.0000 0.5000  2 Ru 2.77, 4 Sb 2.87
Sb 0.5000 0.5000 0.5000  4 I 2.87
N 0.0000 0.5000 0.0000  2 Ru 2.03
N 0.5000 0.0000 0.0000  2 Ru 2.03
Ru 0.0000 0.0000 0.0000  4 N 2.03

=====

Record 3
Computed, not measured: a geometry-optimized LiCaPuTl structure at the PBE level of DFT.

Results
formation energy: 0.017 eV per atom
VASP energy: -5.14 eV/atom

abc: 5.4117 5.4117 5.4117
angles: 60.00 60.00 60.00
Last column: nearest neighbours and their distance in Å.
Sites, in units of the cell vectors:
Tl 0.5000 0.5000 0.5000  4 Ca 3.31, 4 Pu 3.31
Li 0.0000 0.0000 0.0000  4 Ca 3.31, 4 Pu 3.31
Ca 0.2500 0.2500 0.2500  4 Tl 3.31, 4 Li 3.31
Pu 0.7500 0.7500 0.7500  4 Tl 3.31, 4 Li 3.31

=====

Record 4
Computed, not measured: a geometry-optimized ReTcBr2 structure at the PBE level of DFT.

Results
formation energy from raw total energies: 508 kJ/mol of formula units
VASP energy: -5.22 eV/atom
offset from the most stable computed form: 1119 meV/atom

abc: 4.4980 4.4980 4.4980
angles: 110.79 110.79 106.87
Last column: nearest neighbours and their distance in Å.
Sites, in units of the cell vectors:
Re 0.5000 0.5000 0.0000  6 Br 2.68-2.88, 4 Tc 2.88
Tc 0.7500 0.2500 0.5000  6 Br 2.68-2.88, 4 Re 2.88
Br 0.0000 0.0000 0.0000  2 Re 2.68, 4 Tc 2.88, 4 Br 2.88
Br 0.2500 0.7500 0.5000  2 Tc 2.68, 4 Re 2.88, 4 Br 2.88

=====

Record 5
Computed, not measured: a geometry-optimized PmZn2GeIr2 structure at the PBE level of DFT.

Results
formation energy: -0.080 eV per atom
VASP energy: -5.02 eV/atom

abc: 4.6165 4.6165 5.6603
angles: 90.00 90.00 90.00
Last column: nearest neighbours and their distance in Å.
Sites, in units of the cell vectors:
Pm 0.0000 0.0000 0.5000  2 Ge 2.83
Zn 0.5000 0.5000 0.7337  1 Zn 2.65, 4 Ir 2.76
Zn 0.5000 0.5000 0.2663  1 Zn 2.65, 4 Ir 2.76
Ge 0.0000 0.0000 0.0000  4 Ir 2.31
Ir 0.5000 0.0000 0.0000  2 Ge 2.31
Ir 0.0000 0.5000 0.0000  2 Ge 2.31

=====

Record 6
Computed, not measured: a geometry-optimized V3NiGe2 structure at the PBE level of DFT.

Results
formation energy: -0.228 eV per atom
VASP energy: -7.29 eV/atom

abc: 5.1224 5.0469 7.3688
angles: 110.03 110.34 90.00
Last column: nearest neighbours and their distance in Å.
Sites, in units of the cell vectors:
V 0.4575 0.6688 0.3376  5 Ge 2.51-2.63, 2 V 2.73
V 0.5425 0.3312 0.6624  5 Ge 2.51-2.63, 2 V 2.73
V 0.1199 0.8312 0.6624  5 Ge 2.51-2.63, 2 V 2.73
V 0.8801 0.1688 0.3376  5 Ge 2.51-2.63, 2 V 2.73
V 0.5000 0.7500 0.0000  6 V 2.52-2.73, 2 Ni 2.56, 4 Ge 2.59
V 0.5000 0.2500 0.0000  6 V 2.52-2.73, 2 Ni 2.56, 4 Ge 2.59
Ni 0.0000 0.2500 0.0000  4 Ge 2.43, 2 Ni 2.52, 2 V 2.56
Ni 0.0000 0.7500 0.0000  4 Ge 2.43, 2 Ni 2.52, 2 V 2.56
Ge 0.3546 0.1359 0.2718  2 Ni 2.43, 7 V 2.51-2.63
Ge 0.6454 0.8641 0.7282  2 Ni 2.43, 7 V 2.51-2.63
Ge 0.0828 0.3641 0.7282  2 Ni 2.43, 7 V 2.51-2.63
Ge 0.9172 0.6359 0.2718  2 Ni 2.43, 7 V 2.51-2.63